P:
## SmPaGe (PBE)

Data for a relaxed structure of SmPaGe.

Cell and atoms, written as extended XYZ:
```
3
Lattice="-2.870 0.944 -1.755 0.523 -3.980 -2.997 -2.694 -0.369 4.208" Properties=species:S:1:pos:R:3 pbc="T T T"
Pa -1.331 -2.520 -1.073
Ge -2.863 0.942 -1.750
Sm -3.717 -0.883 0.525
```

## Properties
- symmetry = P3m1 (156)
- density of states at the Fermi level (states/eV per cell) = 5.65
- size of the total moment (μB/f.u.) = 0.82

=====

Q:
## SmPaGe (PBE)

Data for a relaxed structure of SmPaGe.

Cell and atoms, written as extended XYZ:
```
6
Lattice="-3.996 0.899 0.112 -0.316 -0.906 -3.983 -1.952 -8.955 2.191" Properties=species:S:1:pos:R:3 pbc="T T T"
Sm -0.792 -3.360 -1.280
Sm -3.316 -5.598 1.536
Pa -2.114 -0.085 0.187
Pa -1.993 -8.873 0.069
Ge -1.406 -6.178 -0.591
Ge -2.702 -2.780 0.846
```

## Properties
- symmetry = P4/nmm (129)
- density of states at the Fermi level (states/eV per cell) = 10.93
- size of the total moment (μB/f.u.) = 0.00

=====

It is P that is the least stable of them.

=====

P:
## Pa2SnGe (PBE)

Data for a relaxed structure of Pa2SnGe.

Cell and atoms, written as extended XYZ:
```
4
Lattice="-1.017 -2.428 1.802 1.915 -1.245 2.228 -3.805 6.186 9.012" Properties=species:S:1:pos:R:3 pbc="T T T"
Pa -2.755 4.290 7.050
Pa -0.153 -1.777 5.993
Sn -1.454 1.256 6.521
Ge 0.000 0.000 0.000
```

## Properties
- symmetry = R-3m (166)
- density of states at the Fermi level (states/eV per cell) = 8.15
- size of the total moment (μB/f.u.) = 0.00

=====

Q:
## Pa2SnGe (PBE)

Data for a relaxed structure of Pa2SnGe.

Cell and atoms, written as extended XYZ:
```
4
Lattice="4.235 0.000 0.000 0.000 4.741 0.000 0.000 0.000 4.741" Properties=species:S:1:pos:R:3 pbc="T T T"
Sn 2.118 2.371 2.371
Pa 0.000 2.371 0.000
Pa 0.000 0.000 2.371
Ge 2.118 0.000 0.000
```

## Properties
- symmetry = P4/mmm (123)
- density of states at the Fermi level (states/eV per cell) = 8.42
- size of the total moment (μB/f.u.) = 0.80

=====

It is P that is the least stable of them.